Density functional theory data (PBE-GGA) for an optimized crystal structure of Ca2NbZnSb.

Values from the calculation:
Magnetic moment: 0.780 μB per atom
N(E_F): 0.672 states/eV/atom
Total energy: -16.2 eV per formula unit
E_form (uncorrected): 63 kJ/mol of atoms

```
data_Ca2NbZnSb
_chemical_formula_sum 'Ca2 Nb1 Zn1 Sb1'
_cell_length_a 5.5146
_cell_length_b 5.5146
_cell_length_c 5.0851
_cell_angle_alpha 90.00
_cell_angle_beta 90.00
_cell_angle_gamma 90.00
_space_group_name_H-M_alt 'P 4/m m m'
_space_group_IT_number 123
_space_group_name_Hall '-P 4 2'
loop_
_atom_site_label
_atom_site_type_symbol
_atom_site_fract_x
_atom_site_fract_y
_atom_site_fract_z
_atom_site_occupancy
Ca1 Ca 0.0000 0.5000 0.0000 1
Nb1 Nb 0.0000 0.0000 0.5000 1
Zn1 Zn 0.5000 0.5000 0.0000 1
Sb1 Sb 0.5000 0.5000 0.5000 1
```

Density functional theory data (PBE-GGA) for an optimized crystal structure of Ca2NbZnSb.

Values from the calculation:
Magnetic moment: 0.000 μB per atom
N(E_F): 1.034 states/eV/atom
Total energy: -16.9 eV per formula unit
E_form (uncorrected): 49 kJ/mol of atoms

```
data_Ca2NbZnSb
_chemical_formula_sum 'Ca2 Nb1 Zn1 Sb1'
_cell_length_a 5.7698
_cell_length_b 5.7698
_cell_length_c 5.2728
_cell_angle_alpha 90.00
_cell_angle_beta 90.00
_cell_angle_gamma 90.00
_space_group_name_H-M_alt 'P 4/m m m'
_space_group_IT_number 123
_space_group_name_Hall '-P 4 2'
loop_
_atom_site_label
_atom_site_type_symbol
_atom_site_fract_x
_atom_site_fract_y
_atom_site_fract_z
_atom_site_occupancy
Ca1 Ca 0.0000 0.5000 0.0000 1
Nb1 Nb 0.0000 0.0000 0.0000 1
Zn1 Zn 0.5000 0.5000 0.5000 1
Sb1 Sb 0.0000 0.0000 0.5000 1
```

Density functional theory data (PBE-GGA) for an optimized crystal structure of Ca2NbZnSb.

Values from the calculation:
Magnetic moment: 0.360 μB per atom
N(E_F): 0.802 states/eV/atom
Total energy: -18.0 eV per formula unit
E_form (uncorrected): 28 kJ/mol of atoms

```
data_Ca2NbZnSb
_chemical_formula_sum 'Ca2 Nb1 Zn1 Sb1'
_cell_length_a 5.3905
_cell_length_b 5.3905
_cell_length_c 4.9398
_cell_angle_alpha 90.00
_cell_angle_beta 90.00
_cell_angle_gamma 90.00
_space_group_name_H-M_alt 'P 4/m m m'
_space_group_IT_number 123
_space_group_name_Hall '-P 4 2'
loop_
_atom_site_label
_atom_site_type_symbol
_atom_site_fract_x
_atom_site_fract_y
_atom_site_fract_z
_atom_site_occupancy
Ca1 Ca 0.0000 0.5000 0.0000 1
Nb1 Nb 0.0000 0.0000 0.5000 1
Zn1 Zn 0.0000 0.0000 0.0000 1
Sb1 Sb 0.5000 0.5000 0.5000 1
```

Density functional theory data (PBE-GGA) for an optimized crystal structure of Ca2ScNb.

Values from the calculation:
Magnetic moment: 0.486 μB per atom
Energy relative to the elements: 15.31 kcal/mol of atoms
N(E_F): 1.123 states/eV/atom
Total energy: -17.7 eV per formula unit

```
data_Ca2ScNb
_chemical_formula_sum 'Ca8 Sc4 Nb4'
_cell_length_a 7.6419
_cell_length_b 7.6419
_cell_length_c 7.6419
_cell_angle_alpha 90.00
_cell_angle_beta 90.00
_cell_angle_gamma 90.00
_space_group_name_H-M_alt 'F m -3 m'
_space_group_IT_number 225
_space_group_name_Hall '-F 4 2 3'
loop_
_atom_site_label
_atom_site_type_symbol
_atom_site_fract_x
_atom_site_fract_y
_atom_site_fract_z
_atom_site_occupancy
Ca1 Ca 0.2500 0.2500 0.2500 1
Sc1 Sc 0.0000 0.0000 0.0000 1
Nb1 Nb 0.0000 0.0000 0.5000 1
```

Density functional theory data (PBE-GGA) for an optimized crystal structure of CaScNb2.

Values from the calculation:
Magnetic moment: 0.000 μB per atom
Energy relative to the elements: 17.58 kcal/mol of atoms
N(E_F): 1.639 states/eV/atom
Total energy: -25.4 eV per formula unit

```
data_CaScNb2
_chemical_formula_sum 'Ca4 Sc4 Nb8'
_cell_length_a 7.0675
_cell_length_b 7.0675
_cell_length_c 7.0675
_cell_angle_alpha 90.00
_cell_angle_beta 90.00
_cell_angle_gamma 90.00
_space_group_name_H-M_alt 'F m -3 m'
_space_group_IT_number 225
_space_group_name_Hall '-F 4 2 3'
loop_
_atom_site_label
_atom_site_type_symbol
_atom_site_fract_x
_atom_site_fract_y
_atom_site_fract_z
_atom_site_occupancy
Ca1 Ca 0.0000 0.0000 0.0000 1
Sc1 Sc 0.0000 0.0000 0.5000 1
Nb1 Nb 0.2500 0.2500 0.2500 1
```

Density functional theory data (PBE-GGA) for an optimized crystal structure of Ca3ScNb.

Values from the calculation:
Magnetic moment: 0.306 μB per atom
Energy relative to the elements: 23.06 kcal/mol of atoms
N(E_F): 1.474 states/eV/atom
Total energy: -17.4 eV per formula unit

```
data_Ca3ScNb
_chemical_formula_sum 'Ca3 Sc1 Nb1'
_cell_length_a 5.6431
_cell_length_b 5.6431
_cell_length_c 5.6431
_cell_angle_alpha 90.00
_cell_angle_beta 90.00
_cell_angle_gamma 90.00
_space_group_name_H-M_alt 'P m -3 m'
_space_group_IT_number 221
_space_group_name_Hall '-P 4 2 3'
loop_
_atom_site_label
_atom_site_type_symbol
_atom_site_fract_x
_atom_site_fract_y
_atom_site_fract_z
_atom_site_occupancy
Ca1 Ca 0.0000 0.0000 0.5000 1
Sc1 Sc 0.5000 0.5000 0.5000 1
Nb1 Nb 0.0000 0.0000 0.0000 1
```

Density functional theory data (PBE-GGA) for an optimized crystal structure of CaSc3Nb.

Values from the calculation:
Magnetic moment: 0.000 μB per atom
Energy relative to the elements: 9.50 kcal/mol of atoms
N(E_F): 1.488 states/eV/atom
Total energy: -29.0 eV per formula unit

```
data_CaSc3Nb
_chemical_formula_sum 'Ca1 Sc3 Nb1'
_cell_length_a 5.2311
_cell_length_b 5.2311
_cell_length_c 5.2311
_cell_angle_alpha 90.00
_cell_angle_beta 90.00
_cell_angle_gamma 90.00
_space_group_name_H-M_alt 'P m -3 m'
_space_group_IT_number 221
_space_group_name_Hall '-P 4 2 3'
loop_
_atom_site_label
_atom_site_type_symbol
_atom_site_fract_x
_atom_site_fract_y
_atom_site_fract_z
_atom_site_occupancy
Ca1 Ca 0.0000 0.0000 0.0000 1
Sc1 Sc 0.0000 0.5000 0.5000 1
Nb1 Nb 0.5000 0.5000 0.5000 1
```

Density functional theory data (PBE-GGA) for an optimized crystal structure of Ca2ScNb.

Values from the calculation:
Magnetic moment: 0.536 μB per atom
Energy relative to the elements: 20.35 kcal/mol of atoms
N(E_F): 1.270 states/eV/atom
Total energy: -16.9 eV per formula unit

```
data_Ca2ScNb
_chemical_formula_sum 'Ca8 Sc4 Nb4'
_cell_length_a 8.5843
_cell_length_b 8.5843
_cell_length_c 6.1360
_cell_angle_alpha 90.00
_cell_angle_beta 90.00
_cell_angle_gamma 90.00
_space_group_name_H-M_alt 'I -4 2 d'
_space_group_IT_number 122
_space_group_name_Hall 'I -4 2bw'
loop_
_atom_site_label
_atom_site_type_symbol
_atom_site_fract_x
_atom_site_fract_y
_atom_site_fract_z
_atom_site_occupancy
Ca1 Ca 0.2376 0.2500 0.1250 1
Sc1 Sc 0.0000 0.0000 0.5000 1
Nb1 Nb 0.0000 0.0000 0.0000 1
```

Density functional theory data (PBE-GGA) for an optimized crystal structure of CaScNb3.

Values from the calculation:
Magnetic moment: 0.000 μB per atom
Energy relative to the elements: 31.64 kcal/mol of atoms
N(E_F): 1.583 states/eV/atom
Total energy: -31.7 eV per formula unit

```
data_CaScNb3
_chemical_formula_sum 'Ca1 Sc1 Nb3'
_cell_length_a 4.9369
_cell_length_b 4.9369
_cell_length_c 4.9369
_cell_angle_alpha 90.00
_cell_angle_beta 90.00
_cell_angle_gamma 90.00
_space_group_name_H-M_alt 'P m -3 m'
_space_group_IT_number 221
_space_group_name_Hall '-P 4 2 3'
loop_
_atom_site_label
_atom_site_type_symbol
_atom_site_fract_x
_atom_site_fract_y
_atom_site_fract_z
_atom_site_occupancy
Ca1 Ca 0.0000 0.0000 0.0000 1
Sc1 Sc 0.5000 0.5000 0.5000 1
Nb1 Nb 0.0000 0.5000 0.5000 1
```

Density functional theory data (PBE-GGA) for an optimized crystal structure of CaScNb2.

Values from the calculation:
Magnetic moment: 0.000 μB per atom
Energy relative to the elements: 18.40 kcal/mol of atoms
N(E_F): 1.558 states/eV/atom
Total energy: -25.3 eV per formula unit

```
data_CaScNb2
_chemical_formula_sum 'Ca4 Sc4 Nb8'
_cell_length_a 4.1546
_cell_length_b 4.1546
_cell_length_c 21.0489
_cell_angle_alpha 90.00
_cell_angle_beta 90.00
_cell_angle_gamma 90.00
_space_group_name_H-M_alt 'I -4 2 d'
_space_group_IT_number 122
_space_group_name_Hall 'I -4 2bw'
loop_
_atom_site_label
_atom_site_type_symbol
_atom_site_fract_x
_atom_site_fract_y
_atom_site_fract_z
_atom_site_occupancy
Ca1 Ca 0.0000 0.0000 0.0000 1
Sc1 Sc 0.0000 0.0000 0.5000 1
Nb1 Nb 0.2351 0.2500 0.6250 1
```

Density functional theory data (PBE-GGA) for an optimized crystal structure of CaScNb3.

Values from the calculation:
Magnetic moment: 0.000 μB per atom
Energy relative to the elements: 44.01 kcal/mol of atoms
N(E_F): 1.447 states/eV/atom
Total energy: -29.0 eV per formula unit

```
data_CaScNb3
_chemical_formula_sum 'Ca1 Sc1 Nb3'
_cell_length_a 4.8281
_cell_length_b 4.8281
_cell_length_c 4.8281
_cell_angle_alpha 90.00
_cell_angle_beta 90.00
_cell_angle_gamma 90.00
_space_group_name_H-M_alt 'P m -3 m'
_space_group_IT_number 221
_space_group_name_Hall '-P 4 2 3'
loop_
_atom_site_label
_atom_site_type_symbol
_atom_site_fract_x
_atom_site_fract_y
_atom_site_fract_z
_atom_site_occupancy
Ca1 Ca 0.0000 0.0000 0.0000 1
Sc1 Sc 0.5000 0.5000 0.5000 1
Nb1 Nb 0.0000 0.0000 0.5000 1
```

Density functional theory data (PBE-GGA) for an optimized crystal structure of Ca2ScNbTe.

Values from the calculation:
Magnetic moment: 0.009 μB per atom
N(E_F): 1.991 states/eV/atom
Total energy: -18.1 eV per formula unit
E_form (uncorrected): 106 kJ/mol of atoms

```
data_Ca2ScNbTe
_chemical_formula_sum 'Ca2 Sc1 Nb1 Te1'
_cell_length_a 5.7261
_cell_length_b 5.7261
_cell_length_c 5.2178
_cell_angle_alpha 90.00
_cell_angle_beta 90.00
_cell_angle_gamma 90.00
_space_group_name_H-M_alt 'P 4/m m m'
_space_group_IT_number 123
_space_group_name_Hall '-P 4 2'
loop_
_atom_site_label
_atom_site_type_symbol
_atom_site_fract_x
_atom_site_fract_y
_atom_site_fract_z
_atom_site_occupancy
Ca1 Ca 0.0000 0.5000 0.0000 1
Sc1 Sc 0.0000 0.0000 0.0000 1
Nb1 Nb 0.5000 0.5000 0.5000 1
Te1 Te 0.0000 0.0000 0.5000 1
```

Density functional theory data (PBE-GGA) for an optimized crystal structure of CaScNb2Zn.

Values from the calculation:
Magnetic moment: 0.000 μB per atom
Energy relative to the elements: 23.32 kcal/mol of atoms
N(E_F): 0.751 states/eV/atom
Total energy: -24.7 eV per formula unit

```
data_CaScNb2Zn
_chemical_formula_sum 'Ca1 Sc1 Nb2 Zn1'
_cell_length_a 4.8190
_cell_length_b 4.8190
_cell_length_c 5.2743
_cell_angle_alpha 90.00
_cell_angle_beta 90.00
_cell_angle_gamma 90.00
_space_group_name_H-M_alt 'P 4/m m m'
_space_group_IT_number 123
_space_group_name_Hall '-P 4 2'
loop_
_atom_site_label
_atom_site_type_symbol
_atom_site_fract_x
_atom_site_fract_y
_atom_site_fract_z
_atom_site_occupancy
Ca1 Ca 0.0000 0.0000 0.0000 1
Sc1 Sc 0.5000 0.5000 0.5000 1
Nb1 Nb 0.0000 0.5000 0.5000 1
Zn1 Zn 0.5000 0.5000 0.0000 1
```